# Ho6CuSe3S2, relaxed, DFT PBE
data_Ho6CuSe3S2
_symmetry_space_group_name_H-M 'P 1'
_symmetry_Int_Tables_number 1
_cell_length_a 6.905
_cell_length_b 6.905
_cell_length_c 6.975
_cell_angle_alpha 99.53
_cell_angle_beta 99.53
_cell_angle_gamma 119.95
loop_
_symmetry_equiv_pos_as_xyz
'x,y,z'
loop_
_atom_site_label
_atom_site_fract_x
_atom_site_fract_y
_atom_site_fract_z
Ho1 0.594 0.923 0.768
Ho2 0.749 0.749 0.234
Ho3 0.923 0.594 0.768
Ho4 0.077 0.406 0.232
Ho5 0.406 0.077 0.232
Ho6 0.251 0.251 0.766
Se1 0.170 0.830 0.500
Se2 0.500 0.500 0.500
Se3 0.830 0.170 0.500
S1 0.334 0.666 0.000
S2 0.666 0.334 0.000
Cu1 0.000 0.000 0.000
# Space-group type: C2/m
# Formation energy (no corrections), eV/atom: -1.586
# Mass density, g/cm3: 8.27
# Total magnetic moment, Bohr magnetons per cell: 0.0
# Crystal system: monoclinic

# Ho8CuSe4S3, relaxed, DFT PBE
data_Ho8CuSe4S3
_symmetry_space_group_name_H-M 'P 1'
_symmetry_Int_Tables_number 1
_cell_length_a 7.940
_cell_length_b 8.034
_cell_length_c 7.940
_cell_angle_alpha 119.61
_cell_angle_beta 120.00
_cell_angle_gamma 90.00
loop_
_symmetry_equiv_pos_as_xyz
'x,y,z'
loop_
_atom_site_label
_atom_site_fract_x
_atom_site_fract_y
_atom_site_fract_z
S1 0.500 0.500 0.000
S2 0.500 0.500 0.500
S3 0.000 0.500 0.500
Se1 0.000 0.000 0.500
Se2 0.000 0.000 0.000
Se3 0.500 0.000 0.500
Se4 0.500 0.000 0.000
Ho1 0.242 0.731 0.484
Ho2 0.742 0.727 0.485
Ho3 0.242 0.731 0.989
Ho4 0.253 0.269 0.011
Ho5 0.758 0.269 0.516
Ho6 0.758 0.269 0.011
Ho7 0.258 0.273 0.515
Ho8 0.747 0.731 0.989
Cu1 0.000 0.500 0.000
# Space-group type: R-3m
# Formation energy (no corrections), eV/atom: -1.650
# Mass density, g/cm3: 8.27
# Total magnetic moment, Bohr magnetons per cell: 0.0
# Crystal system: trigonal

# Ho8CuSe3S3, relaxed, DFT PBE
data_Ho8CuSe3S3
_symmetry_space_group_name_H-M 'P 1'
_symmetry_Int_Tables_number 1
_cell_length_a 7.899
_cell_length_b 7.899
_cell_length_c 7.979
_cell_angle_alpha 119.67
_cell_angle_beta 90.00
_cell_angle_gamma 120.00
loop_
_symmetry_equiv_pos_as_xyz
'x,y,z'
loop_
_atom_site_label
_atom_site_fract_x
_atom_site_fract_y
_atom_site_fract_z
S1 0.500 0.500 0.500
S2 0.500 0.000 0.500
S3 0.000 0.500 0.500
Ho1 0.754 0.012 0.266
Ho2 0.754 0.508 0.266
Ho3 0.258 0.012 0.266
Ho4 0.742 0.988 0.734
Ho5 0.246 0.492 0.734
Ho6 0.246 0.988 0.734
Ho7 0.257 0.515 0.272
Ho8 0.743 0.485 0.728
Se1 0.500 0.500 0.000
Se2 0.000 0.000 0.000
Se3 0.000 0.500 0.000
Cu1 0.000 0.000 0.500
# Space-group type: R-3m
# Formation energy (no corrections), eV/atom: -1.461
# Mass density, g/cm3: 8.05
# Total magnetic moment, Bohr magnetons per cell: 0.0
# Crystal system: trigonal

# Ho4CuSe2S, relaxed, DFT PBE
data_Ho4CuSe2S
_symmetry_space_group_name_H-M 'P 1'
_symmetry_Int_Tables_number 1
_cell_length_a 3.914
_cell_length_b 7.013
_cell_length_c 7.023
_cell_angle_alpha 108.62
_cell_angle_beta 90.00
_cell_angle_gamma 90.00
loop_
_symmetry_equiv_pos_as_xyz
'x,y,z'
loop_
_atom_site_label
_atom_site_fract_x
_atom_site_fract_y
_atom_site_fract_z
S1 0.000 0.000 0.000
Ho1 0.000 0.741 0.233
Ho2 0.000 0.259 0.767
Ho3 0.500 0.755 0.765
Ho4 0.500 0.245 0.235
Cu1 0.500 0.500 0.000
Se1 0.500 0.000 0.500
Se2 0.000 0.500 0.500
# Space-group type: P2/m
# Formation energy (no corrections), eV/atom: -1.418
# Mass density, g/cm3: 8.30
# Total magnetic moment, Bohr magnetons per cell: 0.0
# Crystal system: monoclinic

# Ho6CuSe2S3, relaxed, DFT PBE
data_Ho6CuSe2S3
_symmetry_space_group_name_H-M 'P 1'
_symmetry_Int_Tables_number 1
_cell_length_a 6.889
_cell_length_b 6.889
_cell_length_c 6.842
_cell_angle_alpha 99.70
_cell_angle_beta 99.70
_cell_angle_gamma 119.98
loop_
_symmetry_equiv_pos_as_xyz
'x,y,z'
loop_
_atom_site_label
_atom_site_fract_x
_atom_site_fract_y
_atom_site_fract_z
S1 0.500 0.500 0.500
S2 0.827 0.173 0.500
S3 0.173 0.827 0.500
Ho1 0.764 0.764 0.260
Ho2 0.916 0.592 0.745
Ho3 0.408 0.084 0.255
Ho4 0.084 0.408 0.255
Ho5 0.236 0.236 0.740
Ho6 0.592 0.916 0.745
Se1 0.665 0.335 0.000
Se2 0.335 0.665 0.000
Cu1 0.000 0.000 0.000
# Space-group type: C2/m
# Formation energy (no corrections), eV/atom: -1.608
# Mass density, g/cm3: 8.20
# Total magnetic moment, Bohr magnetons per cell: 0.0
# Crystal system: monoclinic

# HoCuSi2S6, relaxed, DFT PBE
data_HoCuSi2S6
_symmetry_space_group_name_H-M 'P 1'
_symmetry_Int_Tables_number 1
_cell_length_a 6.447
_cell_length_b 8.498
_cell_length_c 8.498
_cell_angle_alpha 85.85
_cell_angle_beta 75.37
_cell_angle_gamma 75.37
loop_
_symmetry_equiv_pos_as_xyz
'x,y,z'
loop_
_atom_site_label
_atom_site_fract_x
_atom_site_fract_y
_atom_site_fract_z
Ho1 0.750 0.133 0.867
Ho2 0.250 0.867 0.133
S1 0.334 0.188 0.052
S2 0.589 0.127 0.608
S3 0.507 0.566 0.695
S4 0.834 0.052 0.188
S5 0.411 0.873 0.392
S6 0.911 0.392 0.873
S7 0.007 0.695 0.566
S8 0.089 0.608 0.127
S9 0.166 0.948 0.812
S10 0.493 0.434 0.305
S11 0.666 0.812 0.948
S12 0.993 0.305 0.434
Si1 0.277 0.771 0.620
Si2 0.223 0.380 0.229
Si3 0.777 0.620 0.771
Si4 0.723 0.229 0.380
Cu1 0.750 0.788 0.212
Cu2 0.250 0.212 0.788
# Space-group type: C2/c
# Formation energy (no corrections), eV/atom: -0.859
# Mass density, g/cm3: 3.63
# Total magnetic moment, Bohr magnetons per cell: 0.0
# Crystal system: monoclinic

# Ho3CuSiS7, relaxed, DFT PBE
data_Ho3CuSiS7
_symmetry_space_group_name_H-M 'P 1'
_symmetry_Int_Tables_number 1
_cell_length_a 9.851
_cell_length_b 9.851
_cell_length_c 5.705
_cell_angle_alpha 90.00
_cell_angle_beta 90.00
_cell_angle_gamma 120.00
loop_
_symmetry_equiv_pos_as_xyz
'x,y,z'
loop_
_atom_site_label
_atom_site_fract_x
_atom_site_fract_y
_atom_site_fract_z
S1 0.163 0.904 0.211
S2 0.667 0.333 0.460
S3 0.417 0.523 0.482
S4 0.895 0.417 0.982
S5 0.741 0.837 0.211
S6 0.583 0.477 0.982
S7 0.259 0.163 0.711
S8 0.105 0.583 0.482
S9 0.904 0.741 0.711
S10 0.523 0.105 0.982
S11 0.477 0.895 0.482
S12 0.333 0.667 0.960
S13 0.096 0.259 0.211
S14 0.837 0.096 0.711
Ho1 0.357 0.227 0.242
Ho2 0.643 0.773 0.742
Ho3 0.227 0.870 0.742
Ho4 0.773 0.130 0.242
Ho5 0.870 0.643 0.242
Ho6 0.130 0.357 0.742
Si1 0.667 0.333 0.831
Si2 0.333 0.667 0.331
Cu1 0.000 0.000 0.692
Cu2 0.000 0.000 0.192
# Space-group type: P6_3
# Formation energy (no corrections), eV/atom: -1.516
# Mass density, g/cm3: 5.62
# Total magnetic moment, Bohr magnetons per cell: 0.0
# Crystal system: hexagonal

# SmHoCu2S4, relaxed, DFT PBE
data_SmHoCu2S4
_symmetry_space_group_name_H-M 'P 1'
_symmetry_Int_Tables_number 1
_cell_length_a 6.499
_cell_length_b 5.997
_cell_length_c 5.997
_cell_angle_alpha 66.74
_cell_angle_beta 57.19
_cell_angle_gamma 57.19
loop_
_symmetry_equiv_pos_as_xyz
'x,y,z'
loop_
_atom_site_label
_atom_site_fract_x
_atom_site_fract_y
_atom_site_fract_z
Sm1 0.000 0.000 0.000
Cu1 0.169 0.331 0.331
Cu2 0.831 0.669 0.669
S1 0.557 0.461 0.923
S2 0.940 0.539 0.077
S3 0.060 0.923 0.461
S4 0.443 0.077 0.539
Ho1 0.500 0.500 0.500
# Space-group type: I222
# Formation energy (no corrections), eV/atom: -1.194
# Mass density, g/cm3: 5.80
# Total magnetic moment, Bohr magnetons per cell: 0.0
# Crystal system: orthorhombic